1.
VASP calculation (PBE) on a relaxed structure of PrThZn4.

Results
As for the energy of formation from the pure elements: -0.244 eV/atom. The mass density comes out at 7.7 g/cm³. The relative energy among the computed polymorphs is 22 meV/atom.

abc: 4.227 4.227 15.264
angles: 90.00 90.00 90.00
Space group I-4m2 (No. 119)
Inequivalent atoms, fractional coordinates:
Pr  0.000  0.000  0.000
Th  0.000  0.500  0.250
Zn  0.000  0.000  0.417
Zn  0.000  0.500  0.668

---

2.
VASP calculation (PBE) on a relaxed structure of PrTh4Zn5.

Results
As for the energy of formation from the pure elements: -0.201 eV/atom. The mass density comes out at 9.3 g/cm³.

abc: 3.677 3.677 18.366
angles: 90.00 90.00 90.00
Space group P4/mmm (No. 123)
Inequivalent atoms, fractional coordinates:
Pr  0.000  0.000  0.000
Th  0.000  0.000  0.202
Th  0.000  0.000  0.401
Zn  0.500  0.500  0.101
Zn  0.500  0.500  0.301
Zn  0.500  0.500  0.500

---

3.
VASP calculation (PBE) on a relaxed structure of Pr2ThZn2.

Results
As for the energy of formation from the pure elements: -0.127 eV/atom. The mass density comes out at 7.6 g/cm³.

abc: 3.779 20.225 3.677
angles: 90.00 90.00 90.00
Space group Cmmm (No. 65)
Inequivalent atoms, fractional coordinates:
Pr  0.000  0.174  0.000
Th  0.000  0.000  0.000
Zn  0.000  0.413  0.500